(1)
Density functional theory data (SCAN) for CaCCl2 at its PBEsol-relaxed geometry.

Properties
**Crystal system**: tetragonal
**Energy relative to the elements, uncorrected**: 0.02 eV/atom

a b c (Å): 4.650 4.650 16.690
angles (deg): 90.00 90.00 90.00
Space group I-42d (No. 122)
One atom of each set of equivalent atoms:
Ca1 0.000 0.000 0.000 x4
C1 0.000 0.000 0.500 x4
Cl1 0.239 0.250 0.625 x8


(2)
Density functional theory data (SCAN) for Li5Cu6P8O28 at its PBEsol-relaxed geometry.

Properties
**Crystal system**: triclinic
**Density of states at the Fermi level**: 0.15 states/eV/atom
**Energy relative to the elements, uncorrected**: -2.11 eV/atom

a b c (Å): 6.187 8.297 10.129
angles (deg): 104.41 91.22 92.95
Space group P-1 (No. 2)
One atom of each set of equivalent atoms:
Li1 0.000 0.000 0.000 x1
Li2 0.400 0.884 0.379 x2
Li3 0.484 0.347 0.885 x2
Cu1 0.000 0.000 0.500 x1
Cu2 0.145 0.610 0.440 x2
Cu3 0.196 0.624 0.857 x2
Cu4 0.500 0.000 0.000 x1
P1 0.031 0.728 0.181 x2
P2 0.234 0.980 0.764 x2
P3 0.310 0.307 0.182 x2
P4 0.347 0.288 0.475 x2
O1 0.042 0.092 0.837 x2
O2 0.100 0.393 0.218 x2
O3 0.109 0.772 0.333 x2
O4 0.149 0.883 0.622 x2
O5 0.165 0.411 0.514 x2
O6 0.177 0.385 0.847 x2
O7 0.209 0.685 0.083 x2
O8 0.257 0.866 0.865 x2
O9 0.271 0.130 0.091 x2
O10 0.281 0.106 0.473 x2
O11 0.420 0.292 0.325 x2
O12 0.433 0.095 0.771 x2
O13 0.454 0.659 0.431 x2
O14 0.482 0.407 0.123 x2


(3)
Density functional theory data (SCAN) for Sc3BeO at its PBEsol-relaxed geometry.

Properties
**Crystal system**: cubic
**Density of states at the Fermi level**: 0.38 states/eV/atom
**Energy relative to the elements, uncorrected**: -1.33 eV/atom

a b c (Å): 4.275 4.275 4.275
angles (deg): 90.00 90.00 90.00
Space group Pm-3m (No. 221)
One atom of each set of equivalent atoms:
Sc1 0.000 0.000 0.500 x3
Be1 0.500 0.500 0.500 x1
O1 0.000 0.000 0.000 x1


(4)
Density functional theory data (SCAN) for RuSe2O at its PBEsol-relaxed geometry.

Properties
**Crystal system**: tetragonal
**Density of states at the Fermi level**: 0.36 states/eV/atom
**Energy relative to the elements, uncorrected**: 0.19 eV/atom

a b c (Å): 5.270 5.270 10.610
angles (deg): 90.00 90.00 90.00
Space group I-42d (No. 122)
One atom of each set of equivalent atoms:
Ru1 0.000 0.000 0.000 x4
Se1 0.237 0.250 0.625 x8
O1 0.000 0.000 0.500 x4


(5)
Density functional theory data (SCAN) for KCdAs2 at its PBEsol-relaxed geometry.

Properties
**Crystal system**: tetragonal
**Density of states at the Fermi level**: 0.16 states/eV/atom
**Calculated formation energy**: -131 meV per atom

a b c (Å): 5.091 5.091 17.987
angles (deg): 90.00 90.00 90.00
Space group I-42d (No. 122)
One atom of each set of equivalent atoms:
K1 0.000 0.000 0.000 x4
Cd1 0.000 0.000 0.500 x4
As1 0.114 0.250 0.625 x8


(6)
Density functional theory data (SCAN) for CoSiPb at its PBEsol-relaxed geometry.

Properties
**Crystal system**: hexagonal
**Density of states at the Fermi level**: 0.94 states/eV/atom
**Energy relative to the elements, uncorrected**: 0.42 eV/atom

a b c (Å): 3.8759 3.8759 4.0778
angles (deg): 90.00 90.00 120.00
Space group P-6m2 (No. 187)
One atom of each set of equivalent atoms:
Co1 0.0000 0.0000 0.0000 x1
Si1 0.6667 0.3333 0.0000 x1
Pb1 0.3333 0.6667 0.5000 x1


Quick rundown of size of the total moment, same order as above: 8.00; 5.00; 0.01; 0.00; 0.00; 0.01 μB per cell
Quick rundown of uncorrected energy, same order as above: -8.91; -9.78; -11.99; -20.12; -19.91; -33.95 eV/atom